[1]
# Dy3Er3CuRu2

A relaxed Dy3Er3CuRu2 crystal (PBE, the Alexandria database).

Summary:
formation enthalpy at 0 K: -0.21 eV/atom
DOS at the Fermi energy: 6.66 states/eV/cell

Cell: 4.7891 7.2078 7.2078 Å, 120.00 90.00 90.00°
With the nearest neighbours (Å) after each atom.
Atoms (fractional coordinates):
Dy (0.5000, 0.7316, 0.0000)  2 Ru 2.67
Dy (0.5000, 0.0000, 0.7316)  2 Ru 2.67
Dy (0.5000, 0.2684, 0.2684)  2 Ru 2.67
Er (0.0000, 0.5857, 0.5857)  1 Cu 2.99, 4 Ru 3.23, 2 Dy 3.31
Er (0.0000, 0.0000, 0.4143)  1 Cu 2.99, 4 Ru 3.23, 2 Dy 3.31
Er (0.0000, 0.4143, 0.0000)  1 Cu 2.99, 4 Ru 3.23, 2 Dy 3.31
Cu (0.0000, 0.0000, 0.0000)  3 Er 2.99, 6 Dy 3.08
Ru (0.5000, 0.6667, 0.3333)  3 Dy 2.67
Ru (0.5000, 0.3333, 0.6667)  3 Dy 2.67

[2]
# DyEr2CuS5

A relaxed DyEr2CuS5 crystal (PBE, the Alexandria database).

Summary:
ΔE_f (raw): -1.688 eV per atom
DOS at the Fermi energy: 0.19 states/eV/cell

Cell: 3.7975 8.6065 11.3235 Å, 90.00 90.00 102.75°
With the nearest neighbours (Å) after each atom.
Atoms (fractional coordinates):
Dy (0.8054, 0.6109, 0.5098)  6 S 2.64-2.75
Dy (0.1946, 0.3891, 0.0098)  6 S 2.64-2.75
Er (0.8820, 0.7639, 0.8065)  7 S 2.73-3.01
Er (0.1045, 0.2091, 0.6834)  8 S 2.80-3.13
Er (0.1180, 0.2361, 0.3065)  7 S 2.73-3.01
Er (0.8955, 0.7909, 0.1834)  8 S 2.80-3.13
Cu (0.5585, 0.1169, 0.9560)  4 S 2.26-2.41
Cu (0.4415, 0.8831, 0.4560)  4 S 2.26-2.41
S (0.3584, 0.7168, 0.0016)  1 Dy 2.75, 4 Er 2.87-2.94
S (0.6795, 0.3589, 0.8411)  1 Cu 2.41
S (0.4971, 0.9942, 0.7787)  1 Cu 2.26
S (0.2908, 0.5816, 0.6811)  2 Dy 2.73, 2 Er 2.82
S (0.9579, 0.9159, 0.5658)  2 Cu 2.29
S (0.6416, 0.2832, 0.5016)  1 Dy 2.75, 4 Er 2.87-2.94
S (0.3205, 0.6411, 0.3411)  1 Cu 2.41
S (0.5029, 0.0058, 0.2787)  1 Cu 2.26
S (0.7092, 0.4184, 0.1811)  2 Dy 2.73, 2 Er 2.82
S (0.0421, 0.0841, 0.0658)  2 Cu 2.29

[3]
# DyEr4CuS8

A relaxed DyEr4CuS8 crystal (PBE, the Alexandria database).

Summary:
ΔE_f (raw): -1.818 eV per atom

Cell: 7.8585 7.8585 7.8767 Å, 60.08 60.08 60.00°
With the nearest neighbours (Å) after each atom.
Atoms (fractional coordinates):
Dy (0.0049, 0.0049, 0.9854)  6 S 2.72-2.76
Er (0.6255, 0.6255, 0.1236)  4 S 2.58
Er (0.0049, 0.4855, 0.5047)  6 S 2.70-2.74
Er (0.4855, 0.0049, 0.5047)  6 S 2.70-2.74
Er (0.0049, 0.0049, 0.5047)  6 S 2.70-2.74
Cu (0.3743, 0.3743, 0.8771)  4 S 2.44-2.45
S (0.2492, 0.7554, 0.7461)  1 Cu 2.45, 2 Er 2.70, 1 Dy 2.72
S (0.7554, 0.2492, 0.7461)  1 Cu 2.45, 2 Er 2.70, 1 Dy 2.72
S (0.2492, 0.2492, 0.7461)  1 Cu 2.45, 2 Er 2.70, 1 Dy 2.72
S (0.2479, 0.2479, 0.2562)  1 Cu 2.44, 3 Er 2.70
S (0.7575, 0.2241, 0.2609)  3 Er 2.58-2.74, 1 Dy 2.76
S (0.2241, 0.7575, 0.2609)  3 Er 2.58-2.74, 1 Dy 2.76
S (0.7575, 0.7575, 0.2609)  3 Er 2.58-2.74, 1 Dy 2.76
S (0.7591, 0.7591, 0.7226)  4 Er 2.58-2.74

[4]
# Dy2ErCuSe5

A relaxed Dy2ErCuSe5 crystal (PBE, the Alexandria database).

Summary:
ΔE_f (raw): -1.532 eV per atom
DOS at the Fermi energy: 0.17 states/eV/cell

Cell: 3.9774 8.9221 11.9764 Å, 90.00 90.00 102.88°
With the nearest neighbours (Å) after each atom.
Atoms (fractional coordinates):
Dy (0.8780, 0.7560, 0.8064)  7 Se 2.90-3.20
Dy (0.1079, 0.2159, 0.6845)  8 Se 2.96-3.13
Dy (0.1220, 0.2440, 0.3064)  7 Se 2.90-3.20
Dy (0.8921, 0.7841, 0.1845)  8 Se 2.96-3.13
Er (0.8073, 0.6146, 0.5102)  6 Se 2.72-2.86
Er (0.1927, 0.3854, 0.0102)  6 Se 2.72-2.86
Cu (0.5642, 0.1284, 0.9567)  4 Se 2.40-2.52
Cu (0.4358, 0.8716, 0.4567)  4 Se 2.40-2.52
Se (0.3571, 0.7142, 0.0005)  1 Er 2.86, 4 Dy 3.03-3.08
Se (0.6858, 0.3717, 0.8425)  1 Cu 2.52
Se (0.4983, 0.9966, 0.7809)  1 Cu 2.40
Se (0.2878, 0.5756, 0.6760)  2 Er 2.83, 3 Dy 2.98-3.13
Se (0.9585, 0.9170, 0.5663)  2 Cu 2.42
Se (0.6429, 0.2858, 0.5005)  1 Er 2.86, 4 Dy 3.03-3.08
Se (0.3142, 0.6283, 0.3425)  1 Cu 2.52
Se (0.5017, 0.0034, 0.2809)  1 Cu 2.40
Se (0.7122, 0.4244, 0.1760)  2 Er 2.83, 3 Dy 2.98-3.13
Se (0.0415, 0.0830, 0.0663)  2 Cu 2.42

[5]
# DyErCuSi

A relaxed DyErCuSi crystal (PBE, the Alexandria database).

Summary:
ΔE_f (raw): -0.432 eV per atom
DOS at the Fermi energy: 2.85 states/eV/cell
energy above the lowest structure with this stoichiometry: 0.108 eV/atom

Cell: 4.9056 4.9056 4.9056 Å, 60.00 60.00 60.00°
With the nearest neighbours (Å) after each atom.
Atoms (fractional coordinates):
Si (0.7500, 0.7500, 0.7500)  4 Er 3.00, 4 Dy 3.00
Dy (0.0000, 0.0000, 0.0000)  4 Si 3.00, 4 Cu 3.00
Cu (0.2500, 0.2500, 0.2500)  4 Dy 3.00, 4 Er 3.00
Er (0.5000, 0.5000, 0.5000)  4 Cu 3.00, 4 Si 3.00

[6]
# DyErCuSi

A relaxed DyErCuSi crystal (PBE, the Alexandria database).

Summary:
ΔE_f (raw): -0.540 eV per atom
DOS at the Fermi energy: 3.04 states/eV/cell
energy above the lowest structure with this stoichiometry: 0.000 eV/atom

Cell: 4.0370 4.0634 5.6895 Å, 90.00 110.78 90.00°
With the nearest neighbours (Å) after each atom.
Atoms (fractional coordinates):
Dy (0.1424, 0.0000, 0.2848)  4 Cu 2.97, 3 Si 3.04
Er (0.8622, 0.5000, 0.7243)  4 Si 2.95, 3 Cu 2.97-3.14
Cu (0.5673, 0.5000, 0.1346)  2 Si 2.51
Si (0.4281, 0.0000, 0.8563)  2 Cu 2.51

[7]
# SmDyErCu

A relaxed SmDyErCu crystal (PBE, the Alexandria database).

Summary:
formation enthalpy at 0 K: -0.11 eV/atom
DOS at the Fermi energy: 4.30 states/eV/cell

Cell: 3.4959 3.4959 8.6783 Å, 90.00 90.00 90.00°
With the nearest neighbours (Å) after each atom.
Atoms (fractional coordinates):
Sm (0.0000, 0.0000, 0.0736)  4 Sm 3.50, 4 Er 3.62, 4 Dy 3.64
Dy (0.5000, 0.5000, 0.7660)  4 Cu 3.02, 1 Er 3.37
Er (0.5000, 0.5000, 0.3782)  4 Cu 2.96
Cu (0.0000, 0.0000, 0.5668)  4 Er 2.96, 4 Dy 3.02

[8]
# TbDyErCu

A relaxed TbDyErCu crystal (PBE, the Alexandria database).

Summary:
formation enthalpy at 0 K: -0.10 eV/atom
DOS at the Fermi energy: 4.99 states/eV/cell

Cell: 3.4782 3.4782 8.6426 Å, 90.00 90.00 90.00°
With the nearest neighbours (Å) after each atom.
Atoms (fractional coordinates):
Tb (0.0000, 0.0000, 0.0735)  4 Tb 3.48, 4 Er 3.58, 4 Dy 3.60
Dy (0.5000, 0.5000, 0.7692)  4 Cu 3.02
Er (0.5000, 0.5000, 0.3752)  4 Cu 2.96
Cu (0.0000, 0.0000, 0.5667)  4 Er 2.96, 4 Dy 3.02

[9]
# Dy3Er3Cu2Tc

A relaxed Dy3Er3Cu2Tc crystal (PBE, the Alexandria database).

Summary:
formation enthalpy at 0 K: -0.15 eV/atom
DOS at the Fermi energy: 9.91 states/eV/cell

Cell: 4.7021 7.3341 7.3341 Å, 120.00 90.00 90.00°
With the nearest neighbours (Å) after each atom.
Atoms (fractional coordinates):
Dy (0.0000, 0.5982, 0.5982)  1 Tc 2.95, 4 Cu 3.24
Dy (0.0000, 0.0000, 0.4018)  1 Tc 2.95, 4 Cu 3.24
Dy (0.0000, 0.4018, 0.0000)  1 Tc 2.95, 4 Cu 3.24
Er (0.5000, 0.7431, 0.0000)  2 Cu 2.77, 2 Tc 3.01
Er (0.5000, 0.0000, 0.7431)  2 Cu 2.77, 2 Tc 3.01
Er (0.5000, 0.2569, 0.2569)  2 Cu 2.77, 2 Tc 3.01
Cu (0.5000, 0.6667, 0.3333)  3 Er 2.77
Cu (0.5000, 0.3333, 0.6667)  3 Er 2.77
Tc (0.0000, 0.0000, 0.0000)  3 Dy 2.95, 6 Er 3.01

[10]
# Dy2ErCuTe5

A relaxed Dy2ErCuTe5 crystal (PBE, the Alexandria database).

Summary:
ΔE_f (raw): -1.116 eV per atom
DOS at the Fermi energy: 0.44 states/eV/cell

Cell: 4.2218 9.5985 12.8879 Å, 90.00 90.00 102.70°
With the nearest neighbours (Å) after each atom.
Atoms (fractional coordinates):
Dy (0.8755, 0.7510, 0.8037)  7 Te 3.14-3.43
Dy (0.1092, 0.2184, 0.6842)  8 Te 3.16-3.32
Dy (0.1245, 0.2490, 0.3037)  7 Te 3.14-3.43
Dy (0.8908, 0.7816, 0.1842)  8 Te 3.16-3.32
Er (0.8109, 0.6219, 0.5092)  6 Te 2.90-3.10, 2 Cu 3.12
Er (0.1891, 0.3781, 0.0092)  6 Te 2.90-3.10, 2 Cu 3.12
Cu (0.5709, 0.1418, 0.9602)  4 Te 2.59-2.67
Cu (0.4291, 0.8582, 0.4602)  4 Te 2.59-2.67
Te (0.3544, 0.7087, 0.9986)  1 Er 3.10, 4 Dy 3.26-3.31
Te (0.6866, 0.3731, 0.8397)  1 Cu 2.67
Te (0.4992, 0.9984, 0.7871)  1 Cu 2.60
Te (0.2862, 0.5725, 0.6736)  2 Er 3.03, 3 Dy 3.17-3.32
Te (0.9604, 0.9209, 0.5677)  2 Cu 2.59, 1 Er 2.90
Te (0.6456, 0.2913, 0.4986)  1 Er 3.10, 4 Dy 3.26-3.31
Te (0.3134, 0.6269, 0.3397)  1 Cu 2.67
Te (0.5008, 0.0016, 0.2871)  1 Cu 2.60
Te (0.7138, 0.4275, 0.1736)  2 Er 3.03, 3 Dy 3.17-3.32
Te (0.0396, 0.0791, 0.0677)  2 Cu 2.59, 1 Er 2.90

[11]
# DyErTlCu

A relaxed DyErTlCu crystal (PBE, the Alexandria database).

Summary:
formation enthalpy at 0 K: -0.25 eV/atom
DOS at the Fermi energy: 2.91 states/eV/cell

Cell: 5.1538 5.1538 5.1538 Å, 60.00 60.00 60.00°
With the nearest neighbours (Å) after each atom.
Atoms (fractional coordinates):
Tl (0.7500, 0.7500, 0.7500)  4 Dy 3.16, 4 Er 3.16
Dy (0.0000, 0.0000, 0.0000)  4 Tl 3.16, 4 Cu 3.16
Cu (0.2500, 0.2500, 0.2500)  4 Dy 3.16, 4 Er 3.16
Er (0.5000, 0.5000, 0.5000)  4 Tl 3.16, 4 Cu 3.16

[12]
# DyErTmCu

A relaxed DyErTmCu crystal (PBE, the Alexandria database).

Summary:
formation enthalpy at 0 K: -0.11 eV/atom
DOS at the Fermi energy: 5.02 states/eV/cell

Cell: 3.4463 3.4463 8.6333 Å, 90.00 90.00 90.00°
With the nearest neighbours (Å) after each atom.
Atoms (fractional coordinates):
Dy (0.0000, 0.0000, 0.0725)  4 Dy 3.45, 4 Tm 3.57, 4 Er 3.58
Er (0.5000, 0.5000, 0.7690)  4 Cu 2.99
Tm (0.5000, 0.5000, 0.3744)  4 Cu 2.96
Cu (0.0000, 0.0000, 0.5688)  4 Tm 2.96, 4 Er 2.99

[13]
# Eu2DyCu

A relaxed Eu2DyCu crystal (PBE, the Alexandria database).

Summary:
formation enthalpy at 0 K: 0.28 eV/atom
DOS at the Fermi energy: 4.08 states/eV/cell
energy above the lowest structure with this stoichiometry: 0.245 eV/atom

Cell: 3.6408 3.6408 11.3446 Å, 80.77 80.77 60.00°
With the nearest neighbours (Å) after each atom.
Atoms (fractional coordinates):
Eu (0.1035, 0.1035, 0.6896)  3 Cu 2.98
Eu (0.8965, 0.8965, 0.3104)  3 Cu 2.98
Cu (0.5000, 0.5000, 0.5000)  6 Eu 2.98
Dy (0.0000, 0.0000, 0.0000)  2 Eu 3.46, 6 Dy 3.64

[14]
# EuDy2Cu

A relaxed EuDy2Cu crystal (PBE, the Alexandria database).

Summary:
formation enthalpy at 0 K: 0.06 eV/atom
DOS at the Fermi energy: 5.49 states/eV/cell
energy above the lowest structure with this stoichiometry: 0.116 eV/atom

Cell: 3.6975 3.6975 10.3203 Å, 79.68 79.68 60.00°
With the nearest neighbours (Å) after each atom.
Atoms (fractional coordinates):
Eu (0.5000, 0.5000, 0.5000)  6 Eu 3.70, 6 Dy 3.80
Cu (0.0000, 0.0000, 0.0000)  6 Dy 2.86
Dy (0.2704, 0.2704, 0.1888)  3 Cu 2.86
Dy (0.7296, 0.7296, 0.8112)  3 Cu 2.86

[15]
# EuDyCu4

A relaxed EuDyCu4 crystal (PBE, the Alexandria database).

Summary:
formation enthalpy at 0 K: -0.10 eV/atom
DOS at the Fermi energy: 5.87 states/eV/cell

Cell: 5.3105 5.3105 5.3105 Å, 60.00 60.00 60.00°
With the nearest neighbours (Å) after each atom.
Atoms (fractional coordinates):
Eu (0.0000, 0.0000, 0.0000)  12 Cu 3.11, 4 Dy 3.25
Cu (0.6244, 0.6244, 0.1269)  6 Cu 2.64-2.67
Cu (0.6244, 0.1269, 0.6244)  6 Cu 2.64-2.67
Cu (0.6244, 0.6244, 0.6244)  6 Cu 2.64-2.67
Cu (0.1269, 0.6244, 0.6244)  6 Cu 2.64-2.67
Dy (0.2500, 0.2500, 0.2500)  12 Cu 3.11, 4 Eu 3.25

[16]
# EuDy2Cu

A relaxed EuDy2Cu crystal (PBE, the Alexandria database).

Summary:
formation enthalpy at 0 K: -0.05 eV/atom
DOS at the Fermi energy: 4.52 states/eV/cell
energy above the lowest structure with this stoichiometry: 0.000 eV/atom

Cell: 3.5324 3.5324 9.0600 Å, 90.00 90.00 90.00°
With the nearest neighbours (Å) after each atom.
Atoms (fractional coordinates):
Eu (0.5000, 0.5000, 0.5000)  4 Eu 3.53, 8 Dy 3.80
Cu (0.5000, 0.5000, 0.0000)  8 Dy 3.00
Dy (0.0000, 0.0000, 0.8166)  4 Cu 3.00, 1 Dy 3.32
Dy (0.0000, 0.0000, 0.1834)  4 Cu 3.00, 1 Dy 3.32

[17]
# Eu2DyCu

A relaxed Eu2DyCu crystal (PBE, the Alexandria database).

Summary:
formation enthalpy at 0 K: 0.03 eV/atom
DOS at the Fermi energy: 4.41 states/eV/cell
energy above the lowest structure with this stoichiometry: 0.000 eV/atom

Cell: 3.6565 3.6565 8.9973 Å, 90.00 90.00 90.00°
With the nearest neighbours (Å) after each atom.
Atoms (fractional coordinates):
Eu (0.0000, 0.0000, 0.8033)  4 Cu 3.13
Eu (0.0000, 0.0000, 0.1967)  4 Cu 3.13
Cu (0.5000, 0.5000, 0.0000)  8 Eu 3.13
Dy (0.5000, 0.5000, 0.5000)  4 Dy 3.66, 8 Eu 3.76

[18]
# EuDyCu2

A relaxed EuDyCu2 crystal (PBE, the Alexandria database).

Summary:
formation enthalpy at 0 K: -0.12 eV/atom
DOS at the Fermi energy: 5.88 states/eV/cell
energy above the lowest structure with this stoichiometry: 0.046 eV/atom

Cell: 5.0018 5.0018 5.0018 Å, 60.00 60.00 60.00°
With the nearest neighbours (Å) after each atom.
Atoms (fractional coordinates):
Eu (0.0000, 0.0000, 0.0000)  8 Cu 3.06
Cu (0.2500, 0.2500, 0.2500)  4 Eu 3.06, 4 Dy 3.06
Cu (0.7500, 0.7500, 0.7500)  4 Dy 3.06, 4 Eu 3.06
Dy (0.5000, 0.5000, 0.5000)  8 Cu 3.06

[19]
# EuDyCu2

A relaxed EuDyCu2 crystal (PBE, the Alexandria database).

Summary:
formation enthalpy at 0 K: -0.17 eV/atom
DOS at the Fermi energy: 6.35 states/eV/cell
energy above the lowest structure with this stoichiometry: 0.000 eV/atom

Cell: 3.5556 3.5556 7.1169 Å, 90.00 90.00 90.00°
With the nearest neighbours (Å) after each atom.
Atoms (fractional coordinates):
Eu (0.5000, 0.5000, 0.5000)  8 Cu 3.25, 4 Eu 3.56, 2 Dy 3.56
Cu (0.0000, 0.0000, 0.7887)  4 Dy 2.93, 1 Cu 3.01, 4 Eu 3.25
Cu (0.0000, 0.0000, 0.2113)  4 Dy 2.93, 1 Cu 3.01, 4 Eu 3.25
Dy (0.5000, 0.5000, 0.0000)  8 Cu 2.93

[20]
# EuDyCuGe

A relaxed EuDyCuGe crystal (PBE, the Alexandria database).

Summary:
formation enthalpy at 0 K: -0.45 eV/atom
DOS at the Fermi energy: 6.08 states/eV/cell

Cell: 5.0755 5.0755 5.0755 Å, 60.00 60.00 60.00°
With the nearest neighbours (Å) after each atom.
Atoms (fractional coordinates):
Eu (0.0000, 0.0000, 0.0000)  4 Ge 3.11, 4 Cu 3.11
Ge (0.7500, 0.7500, 0.7500)  4 Dy 3.11, 4 Eu 3.11
Cu (0.2500, 0.2500, 0.2500)  4 Eu 3.11, 4 Dy 3.11
Dy (0.5000, 0.5000, 0.5000)  4 Cu 3.11, 4 Ge 3.11